# SmYAs2Rh5 (PBE, optimized geometry)
data_SmYAs2Rh5
_cell_length_a 4.2597
_cell_length_b 4.2597
_cell_length_c 8.8249
_cell_angle_alpha 90.00
_cell_angle_beta 90.00
_cell_angle_gamma 90.00
_symmetry_space_group_name_H-M 'P 1'
_symmetry_Int_Tables_number 1
loop_
_symmetry_equiv_pos_as_xyz
'x,y,z'
loop_
_atom_site_label
_atom_site_type_symbol
_atom_site_fract_x
_atom_site_fract_y
_atom_site_fract_z
Sm1 Sm 0.0000 0.0000 0.0000
Y1 Y 0.0000 0.0000 0.5000
As1 As 0.5000 0.5000 0.3534
As2 As 0.5000 0.5000 0.6466
Rh1 Rh 0.0000 0.5000 0.2349
Rh2 Rh 0.0000 0.5000 0.7651
Rh3 Rh 0.5000 0.0000 0.2349
Rh4 Rh 0.5000 0.0000 0.7651
Rh5 Rh 0.5000 0.5000 0.0000
# total moment	0.000	μB/atom
# calculated formation energy	-762.3	meV/atom
# DFT total energy	-64.10	eV/cell
# crystal system	tetragonal

# LiTb2H6Rh2 (PBE, optimized geometry)
data_LiTb2H6Rh2
_cell_length_a 6.5558
_cell_length_b 6.5558
_cell_length_c 6.5558
_cell_angle_alpha 42.47
_cell_angle_beta 42.47
_cell_angle_gamma 42.47
_symmetry_space_group_name_H-M 'P 1'
_symmetry_Int_Tables_number 1
loop_
_symmetry_equiv_pos_as_xyz
'x,y,z'
loop_
_atom_site_label
_atom_site_type_symbol
_atom_site_fract_x
_atom_site_fract_y
_atom_site_fract_z
Li1 Li 0.0000 0.0000 0.0000
Tb1 Tb 0.2264 0.2264 0.2264
Tb2 Tb 0.7736 0.7736 0.7736
H1 H 0.2179 0.7386 0.7386
H2 H 0.2614 0.2614 0.7821
H3 H 0.2614 0.7821 0.2614
H4 H 0.7386 0.2179 0.7386
H5 H 0.7386 0.7386 0.2179
H6 H 0.7821 0.2614 0.2614
Rh1 Rh 0.3801 0.3801 0.3801
Rh2 Rh 0.6199 0.6199 0.6199
# total moment	0.000	μB/atom
# DFT total energy	-51.36	eV/cell
# crystal system	trigonal

# SmDy4Er3Se8 (PBE, optimized geometry)
data_SmDy4Er3Se8
_cell_length_a 8.1468
_cell_length_b 8.1468
_cell_length_c 8.1468
_cell_angle_alpha 60.03
_cell_angle_beta 60.03
_cell_angle_gamma 60.03
_symmetry_space_group_name_H-M 'P 1'
_symmetry_Int_Tables_number 1
loop_
_symmetry_equiv_pos_as_xyz
'x,y,z'
loop_
_atom_site_label
_atom_site_type_symbol
_atom_site_fract_x
_atom_site_fract_y
_atom_site_fract_z
Sm1 Sm 0.0000 0.0000 0.0000
Dy1 Dy 0.0000 0.0000 0.5000
Dy2 Dy 0.0000 0.5000 0.0000
Dy3 Dy 0.5000 0.0000 0.0000
Dy4 Dy 0.5000 0.5000 0.5000
Er1 Er 0.0000 0.5000 0.5000
Er2 Er 0.5000 0.0000 0.5000
Er3 Er 0.5000 0.5000 0.0000
Se1 Se 0.2513 0.2513 0.2513
Se2 Se 0.2531 0.2531 0.7442
Se3 Se 0.2531 0.7442 0.2531
Se4 Se 0.2558 0.7469 0.7469
Se5 Se 0.7442 0.2531 0.2531
Se6 Se 0.7469 0.2558 0.7469
Se7 Se 0.7469 0.7469 0.2558
Se8 Se 0.7487 0.7487 0.7487
# total moment	0.000	μB/atom
# DFT total energy	-92.37	eV/cell
# uncorrected formation energy	-1729.6	meV per atom
# crystal system	trigonal

# Li2SmAu3 (PBE, optimized geometry)
data_Li2SmAu3
_cell_length_a 4.5103
_cell_length_b 4.5103
_cell_length_c 13.1377
_cell_angle_alpha 90.00
_cell_angle_beta 90.00
_cell_angle_gamma 120.00
_symmetry_space_group_name_H-M 'P 1'
_symmetry_Int_Tables_number 1
loop_
_symmetry_equiv_pos_as_xyz
'x,y,z'
loop_
_atom_site_label
_atom_site_type_symbol
_atom_site_fract_x
_atom_site_fract_y
_atom_site_fract_z
Li1 Li 0.3333 0.6667 0.0684
Li2 Li 0.3333 0.6667 0.4316
Li3 Li 0.6667 0.3333 0.5684
Li4 Li 0.6667 0.3333 0.9316
Sm1 Sm 0.0000 0.0000 0.2500
Sm2 Sm 0.0000 0.0000 0.7500
Au1 Au 0.0000 0.0000 0.0000
Au2 Au 0.0000 0.0000 0.5000
Au3 Au 0.3333 0.6667 0.6299
Au4 Au 0.3333 0.6667 0.8701
Au5 Au 0.6667 0.3333 0.1299
Au6 Au 0.6667 0.3333 0.3701
# total moment	0.000	μB/atom
# calculated formation energy	-641.6	meV/atom
# DFT total energy	-44.46	eV/cell
# crystal system	hexagonal

# TlPPdS2 (PBE, optimized geometry)
data_TlPPdS2
_cell_length_a 5.1069
_cell_length_b 5.1069
_cell_length_c 5.1162
_cell_angle_alpha 90.00
_cell_angle_beta 90.00
_cell_angle_gamma 90.00
_symmetry_space_group_name_H-M 'P 1'
_symmetry_Int_Tables_number 1
loop_
_symmetry_equiv_pos_as_xyz
'x,y,z'
loop_
_atom_site_label
_atom_site_type_symbol
_atom_site_fract_x
_atom_site_fract_y
_atom_site_fract_z
Tl1 Tl 0.0000 0.0000 0.0000
P1 P 0.0000 0.0000 0.5000
Pd1 Pd 0.5000 0.5000 0.5000
S1 S 0.0000 0.5000 0.0000
S2 S 0.5000 0.0000 0.0000
# total moment	0.416	μB/atom
# DFT total energy	-14.56	eV/cell
# energy above the most stable polymorph in this dataset	950	meV/atom
# uncorrected formation energy	1333.3	meV per atom
# crystal system	tetragonal

# Mg2HPd (PBE, optimized geometry)
data_Mg2HPd
_cell_length_a 4.4276
_cell_length_b 4.4276
_cell_length_c 4.4276
_cell_angle_alpha 60.00
_cell_angle_beta 60.00
_cell_angle_gamma 60.00
_symmetry_space_group_name_H-M 'P 1'
_symmetry_Int_Tables_number 1
loop_
_symmetry_equiv_pos_as_xyz
'x,y,z'
loop_
_atom_site_label
_atom_site_type_symbol
_atom_site_fract_x
_atom_site_fract_y
_atom_site_fract_z
Mg1 Mg 0.2500 0.2500 0.2500
Mg2 Mg 0.7500 0.7500 0.7500
H1 H 0.0000 0.0000 0.0000
Pd1 Pd 0.5000 0.5000 0.5000
# total moment	0.000	μB/atom
# DFT total energy	-11.79	eV/cell
# energy above the most stable polymorph in this dataset	213	meV/atom
# crystal system	cubic

# Be2NiOsSe (PBE, optimized geometry)
data_Be2NiOsSe
_cell_length_a 3.9336
_cell_length_b 3.9336
_cell_length_c 4.4066
_cell_angle_alpha 90.00
_cell_angle_beta 90.00
_cell_angle_gamma 90.00
_symmetry_space_group_name_H-M 'P 1'
_symmetry_Int_Tables_number 1
loop_
_symmetry_equiv_pos_as_xyz
'x,y,z'
loop_
_atom_site_label
_atom_site_type_symbol
_atom_site_fract_x
_atom_site_fract_y
_atom_site_fract_z
Be1 Be 0.0000 0.5000 0.0000
Be2 Be 0.5000 0.0000 0.0000
Ni1 Ni 0.0000 0.0000 0.0000
Os1 Os 0.5000 0.5000 0.5000
Se1 Se 0.0000 0.0000 0.5000
# total moment	0.000	μB/atom
# DFT total energy	-22.98	eV/cell
# uncorrected formation energy	992.7	meV per atom
# crystal system	tetragonal

# Cs2KAgI (PBE, optimized geometry)
data_Cs2KAgI
_cell_length_a 7.0424
_cell_length_b 7.0424
_cell_length_c 6.4757
_cell_angle_alpha 90.00
_cell_angle_beta 90.00
_cell_angle_gamma 90.00
_symmetry_space_group_name_H-M 'P 1'
_symmetry_Int_Tables_number 1
loop_
_symmetry_equiv_pos_as_xyz
'x,y,z'
loop_
_atom_site_label
_atom_site_type_symbol
_atom_site_fract_x
_atom_site_fract_y
_atom_site_fract_z
Cs1 Cs 0.0000 0.5000 0.0000
Cs2 Cs 0.5000 0.0000 0.0000
K1 K 0.0000 0.0000 0.5000
Ag1 Ag 0.0000 0.0000 0.0000
I1 I 0.5000 0.5000 0.5000
# total moment	0.000	μB/atom
# DFT total energy	-9.21	eV/cell
# uncorrected formation energy	-401.7	meV per atom
# crystal system	tetragonal

# CsBeZnH2 (PBE, optimized geometry)
data_CsBeZnH2
_cell_length_a 6.2933
_cell_length_b 4.3998
_cell_length_c 4.3998
_cell_angle_alpha 50.30
_cell_angle_beta 90.00
_cell_angle_gamma 90.00
_symmetry_space_group_name_H-M 'P 1'
_symmetry_Int_Tables_number 1
loop_
_symmetry_equiv_pos_as_xyz
'x,y,z'
loop_
_atom_site_label
_atom_site_type_symbol
_atom_site_fract_x
_atom_site_fract_y
_atom_site_fract_z
Cs1 Cs 0.0000 0.0000 0.0000
Be1 Be 0.5000 0.4862 0.4862
Zn1 Zn 0.5000 0.1799 0.1799
H1 H 0.3195 0.3641 0.3641
H2 H 0.6805 0.3641 0.3641
# total moment	0.000	μB/atom
# DFT total energy	-12.18	eV/cell
# energy above the most stable polymorph in this dataset	13	meV/atom
# crystal system	orthorhombic

# CaCo2Os (PBE, optimized geometry)
data_CaCo2Os
_cell_length_a 5.0782
_cell_length_b 5.0782
_cell_length_c 4.7526
_cell_angle_alpha 107.99
_cell_angle_beta 107.99
_cell_angle_gamma 30.81
_symmetry_space_group_name_H-M 'P 1'
_symmetry_Int_Tables_number 1
loop_
_symmetry_equiv_pos_as_xyz
'x,y,z'
loop_
_atom_site_label
_atom_site_type_symbol
_atom_site_fract_x
_atom_site_fract_y
_atom_site_fract_z
Ca1 Ca 0.0000 0.0000 0.0000
Co1 Co 0.2240 0.2240 0.7713
Co2 Co 0.5153 0.5153 0.4961
Os1 Os 0.7841 0.7841 0.3728
# total moment	0.632	μB/atom
# calculated formation energy	430.5	meV/atom
# DFT total energy	-25.72	eV/cell
# energy above the most stable polymorph in this dataset	74	meV/atom
# crystal system	monoclinic

# Rb2MgCF6 (PBE, optimized geometry)
data_Rb2MgCF6
_cell_length_a 5.7906
_cell_length_b 5.7906
_cell_length_c 5.7906
_cell_angle_alpha 60.00
_cell_angle_beta 60.00
_cell_angle_gamma 60.00
_symmetry_space_group_name_H-M 'P 1'
_symmetry_Int_Tables_number 1
loop_
_symmetry_equiv_pos_as_xyz
'x,y,z'
loop_
_atom_site_label
_atom_site_type_symbol
_atom_site_fract_x
_atom_site_fract_y
_atom_site_fract_z
Rb1 Rb 0.2500 0.2500 0.2500
Rb2 Rb 0.7500 0.7500 0.7500
Mg1 Mg 0.0000 0.0000 0.0000
C1 C 0.5000 0.5000 0.5000
F1 F 0.2519 0.2519 0.7481
F2 F 0.2519 0.7481 0.2519
F3 F 0.2519 0.7481 0.7481
F4 F 0.7481 0.2519 0.2519
F5 F 0.7481 0.2519 0.7481
F6 F 0.7481 0.7481 0.2519
# total moment	0.000	μB/atom
# DFT total energy	-43.90	eV/cell
# uncorrected formation energy	-1991.6	meV per atom
# crystal system	cubic

# Rb3V2BiS8 (PBE, optimized geometry)
data_Rb3V2BiS8
_cell_length_a 7.2339
_cell_length_b 7.2339
_cell_length_c 9.5108
_cell_angle_alpha 90.00
_cell_angle_beta 90.00
_cell_angle_gamma 120.00
_symmetry_space_group_name_H-M 'P 1'
_symmetry_Int_Tables_number 1
loop_
_symmetry_equiv_pos_as_xyz
'x,y,z'
loop_
_atom_site_label
_atom_site_type_symbol
_atom_site_fract_x
_atom_site_fract_y
_atom_site_fract_z
Rb1 Rb 0.0000 0.0000 0.0000
Rb2 Rb 0.3333 0.6667 0.6645
Rb3 Rb 0.6667 0.3333 0.3355
V1 V 0.3333 0.6667 0.2395
V2 V 0.6667 0.3333 0.7605
Bi1 Bi 0.0000 0.0000 0.5000
S1 S 0.1667 0.3335 0.3073
S2 S 0.1667 0.8333 0.3073
S3 S 0.3335 0.1667 0.6927
S4 S 0.3333 0.6667 0.0207
S5 S 0.6667 0.3333 0.9793
S6 S 0.6665 0.8333 0.3073
S7 S 0.8333 0.1667 0.6927
S8 S 0.8333 0.6665 0.6927
# total moment	0.000	μB/atom
# DFT total energy	-70.12	eV/cell
# uncorrected formation energy	-863.1	meV per atom
# crystal system	trigonal